--- P ---
# PBE VTe2CI, relaxed
data_VTe2CI
_chemical_formula_sum 'V1 Te2 C1 I1'
_space_group_name_H-M_alt 'P 4/m m m'
_space_group_IT_number 123
_space_group_name_Hall '-P 4 2'
_cell_length_a 4.7210
_cell_length_b 4.7210
_cell_length_c 4.8765
_cell_angle_alpha 90.00
_cell_angle_beta 90.00
_cell_angle_gamma 90.00
loop_
_atom_site_label
_atom_site_fract_x
_atom_site_fract_y
_atom_site_fract_z
V1 0.0000 0.0000 0.0000
Te1 0.0000 0.5000 0.5000
C1 0.5000 0.5000 0.5000
I1 0.5000 0.5000 0.0000
# M_tot	0.00	μB/atom
# D(E_F)	1.574	states/eV per atom

--- Q ---
# PBE VTe2CI, relaxed
data_VTe2CI
_chemical_formula_sum 'V1 Te2 C1 I1'
_space_group_name_H-M_alt 'P 4/m m m'
_space_group_IT_number 123
_space_group_name_Hall '-P 4 2'
_cell_length_a 5.1403
_cell_length_b 5.1403
_cell_length_c 5.6412
_cell_angle_alpha 90.00
_cell_angle_beta 90.00
_cell_angle_gamma 90.00
loop_
_atom_site_label
_atom_site_fract_x
_atom_site_fract_y
_atom_site_fract_z
V1 0.0000 0.0000 0.0000
Te1 0.0000 0.5000 0.0000
C1 0.5000 0.5000 0.5000
I1 0.0000 0.0000 0.5000
# M_tot	0.51	μB/atom
# D(E_F)	1.079	states/eV per atom

So which one is most stable? That would be P, about 47 meV/atom below the next structure.